# 1
{
  "formula": "Pm3Sc",
  "functional": "PBE-GGA",
  "state": "optimized geometry",
  "volume_a3_per_atom": 31.88,
  "mass_density_g_cm3": 6.25,
  "de_polymorph_mev_per_atom": 100,
  "dos_at_fermi_per_ev_atom": 2.187,
  "sg": "Fm-3m (225)",
  "formation_enthalpy_0k_ev_per_atom": 0.14,
  "lattice_angstrom": [[-0.775, -1.311, -5.441], [-3.656, -4.062, -1.434], [-4.851, 1.343, -2.566]],
  "species": ["Sc", "Pm", "Pm", "Pm"],
  "frac_coords": [[0.500, 0.500, 0.500], [0.000, 0.000, 0.000], [0.750, 0.750, 0.750], [0.250, 0.250, 0.250]]
}

---

# 2
{
  "formula": "CeAlFeRu",
  "functional": "PBE-GGA",
  "state": "optimized geometry",
  "volume_a3_per_atom": 16.16,
  "mass_density_g_cm3": 8.32,
  "dos_at_fermi_per_ev_atom": 0.653,
  "sg": "F-43m (216)",
  "formation_enthalpy_0k_ev_per_atom": -0.26,
  "lattice_angstrom": [[-4.335, 0.093, -1.219], [-1.591, -3.061, -2.897], [-2.813, -3.212, 1.436]],
  "species": ["Ru", "Fe", "Ce", "Al"],
  "frac_coords": [[0.250, 0.250, 0.250], [0.750, 0.750, 0.750], [0.000, 0.000, 0.000], [0.500, 0.500, 0.500]]
}

---

# 3
{
  "formula": "PaRu2Rh2",
  "functional": "PBE-GGA",
  "state": "optimized geometry",
  "volume_a3_per_atom": 17.54,
  "mass_density_g_cm3": 12.10,
  "dos_at_fermi_per_ev_atom": 1.323,
  "sg": "C2/m (12)",
  "formation_enthalpy_0k_ev_per_atom": -0.11,
  "lattice_angstrom": [[-1.515, 1.513, 2.983], [0.564, -3.083, 1.912], [6.073, 3.516, -0.483]],
  "species": ["Pa", "Ru", "Ru", "Rh", "Rh"],
  "frac_coords": [[0.000, 0.000, 0.000], [0.249, 0.749, 0.500], [0.751, 0.251, 0.500], [0.640, 0.558, 0.198], [0.360, 0.442, 0.802]]
}

---

# 4
{
  "formula": "Ta2Mn3Os",
  "functional": "PBE-GGA",
  "state": "optimized geometry",
  "volume_a3_per_atom": 14.07,
  "mass_density_g_cm3": 14.11,
  "dos_at_fermi_per_ev_atom": 1.469,
  "sg": "C2/m (12)",
  "formation_enthalpy_0k_ev_per_atom": -0.21,
  "lattice_angstrom": [[0.358, -0.748, -4.786], [2.773, -2.575, 3.045], [-4.103, -1.515, 2.372]],
  "species": ["Ta", "Ta", "Mn", "Mn", "Mn", "Os"],
  "frac_coords": [[0.754, 0.377, 0.132], [0.246, 0.623, 0.868], [0.500, 0.500, 0.500], [0.000, 0.000, 0.500], [0.500, 0.000, 0.500], [0.000, 0.000, 0.000]]
}

---

# 5
{
  "formula": "BeFe2Re",
  "functional": "PBE-GGA",
  "state": "optimized geometry",
  "volume_a3_per_atom": 11.90,
  "mass_density_g_cm3": 10.70,
  "dos_at_fermi_per_ev_atom": 0.699,
  "sg": "C2/m (12)",
  "formation_enthalpy_0k_ev_per_atom": 0.10,
  "lattice_angstrom": [[-0.600, 1.626, 4.436], [-0.546, -4.662, -0.805], [2.133, -0.849, 1.041]],
  "species": ["Re", "Fe", "Fe", "Be"],
  "frac_coords": [[0.500, 0.000, 0.500], [0.000, 0.000, 0.000], [0.500, 0.500, 0.000], [0.000, 0.500, 0.500]]
}

---

# 6
{
  "formula": "CaSm2ThTe4",
  "functional": "PBE-GGA",
  "state": "optimized geometry",
  "volume_a3_per_atom": 31.34,
  "mass_density_g_cm3": 7.17,
  "dos_at_fermi_per_ev_atom": 0.620,
  "sg": "P2/m (10)",
  "formation_energy_uncorrected_ev_per_atom": -1.326,
  "lattice_angstrom": [[4.398, 0.000, 0.000], [0.000, 7.622, -0.154], [0.000, 2.684, 7.424]],
  "species": ["Ca", "Sm", "Sm", "Th", "Te", "Te", "Te", "Te"],
  "frac_coords": [[0.500, 0.500, 0.000], [0.000, 0.000, 0.000], [0.500, 0.000, 0.500], [0.000, 0.500, 0.500], [0.000, 0.749, 0.754], [0.000, 0.251, 0.246], [0.500, 0.751, 0.245], [0.500, 0.249, 0.755]]
}

---

# 7
{
  "formula": "Ca2CdSn4",
  "functional": "PBE-GGA",
  "state": "optimized geometry",
  "volume_a3_per_atom": 28.50,
  "mass_density_g_cm3": 5.56,
  "de_polymorph_mev_per_atom": 0,
  "dos_at_fermi_per_ev_atom": 0.468,
  "sg": "C2/m (12)",
  "formation_enthalpy_0k_ev_per_atom": -0.35,
  "lattice_angstrom": [[5.577, 0.017, -3.210], [-1.855, 5.259, -3.210], [0.086, 0.122, 6.645]],
  "species": ["Ca", "Ca", "Sn", "Sn", "Sn", "Sn", "Cd"],
  "frac_coords": [[0.286, 0.785, 0.571], [0.785, 0.286, 0.571], [0.786, 0.786, 0.072], [0.286, 0.286, 0.071], [0.786, 0.286, 0.071], [0.286, 0.786, 0.071], [0.786, 0.786, 0.572]]
}

---

# 8
{
  "formula": "DyScBr",
  "functional": "PBE-GGA",
  "state": "optimized geometry",
  "volume_a3_per_atom": 26.72,
  "mass_density_g_cm3": 5.95,
  "de_polymorph_mev_per_atom": 74,
  "dos_at_fermi_per_ev_atom": 1.196,
  "sg": "Pmmn (59)",
  "formation_energy_uncorrected_ev_per_atom": -0.606,
  "lattice_angstrom": [[-2.921, -1.098, -1.593], [0.108, -4.690, 3.037], [1.214, 10.523, 5.925]],
  "species": ["Sc", "Sc", "Dy", "Dy", "Br", "Br"],
  "frac_coords": [[0.348, 0.049, 0.799], [0.652, 0.951, 0.201], [0.861, 0.306, 0.556], [0.139, 0.694, 0.444], [0.601, 0.675, 0.925], [0.399, 0.325, 0.075]]
}

---

# 9
{
  "formula": "KIn6Ag3",
  "functional": "PBE-GGA",
  "state": "optimized geometry",
  "volume_a3_per_atom": 26.08,
  "mass_density_g_cm3": 6.69,
  "dos_at_fermi_per_ev_atom": 0.318,
  "sg": "P2_1/m (11)",
  "formation_enthalpy_0k_ev_per_atom": -0.04,
  "lattice_angstrom": [[-4.467, -0.494, 1.926], [3.322, -1.377, 7.352], [1.057, 12.212, 5.582]],
  "species": ["K", "K", "In", "In", "In", "In", "In", "In", "In", "In", "In", "In", "In", "In", "Ag", "Ag", "Ag", "Ag", "Ag", "Ag"],
  "frac_coords": [[0.750, 0.035, 0.772], [0.250, 0.965, 0.228], [0.750, 0.387, 0.556], [0.250, 0.613, 0.444], [0.750, 0.732, 0.064], [0.250, 0.268, 0.936], [0.750, 0.306, 0.158], [0.250, 0.694, 0.842], [0.750, 0.618, 0.295], [0.250, 0.382, 0.705], [0.750, 0.137, 0.408], [0.250, 0.863, 0.592], [0.750, 0.626, 0.708], [0.250, 0.374, 0.292], [0.750, 0.475, 0.936], [0.250, 0.525, 0.064], [0.750, 0.780, 0.477], [0.250, 0.220, 0.523], [0.750, 0.093, 0.018], [0.250, 0.907, 0.982]]
}

---

# 10
{
  "formula": "Tb4SiPbSe2",
  "functional": "PBE-GGA",
  "state": "optimized geometry",
  "volume_a3_per_atom": 26.55,
  "mass_density_g_cm3": 8.04,
  "dos_at_fermi_per_ev_atom": 0.331,
  "sg": "P2/m (10)",
  "formation_energy_uncorrected_ev_per_atom": -1.198,
  "lattice_angstrom": [[-2.624, -3.125, 0.815], [5.305, -4.841, -1.478], [3.690, -1.482, 6.199]],
  "species": ["Tb", "Tb", "Tb", "Tb", "Si", "Pb", "Se", "Se"],
  "frac_coords": [[0.000, 0.754, 0.734], [0.000, 0.246, 0.266], [0.500, 0.742, 0.264], [0.500, 0.258, 0.736], [0.000, 0.500, 0.500], [0.500, 0.500, 0.000], [0.000, 0.000, 0.000], [0.500, 0.000, 0.500]]
}

---

# 11
{
  "formula": "NdTmSe3",
  "functional": "PBE-GGA",
  "state": "optimized geometry",
  "volume_a3_per_atom": 25.55,
  "mass_density_g_cm3": 7.15,
  "de_polymorph_mev_per_atom": 0,
  "sg": "Pnma (62)",
  "formation_energy_uncorrected_ev_per_atom": -1.873,
  "lattice_angstrom": [[-2.856, -0.092, -2.978], [-1.578, -7.355, 1.740], [-11.103, 4.865, 10.495]],
  "species": ["Nd", "Nd", "Nd", "Nd", "Tm", "Tm", "Tm", "Tm", "Se", "Se", "Se", "Se", "Se", "Se", "Se", "Se", "Se", "Se", "Se", "Se"],
  "frac_coords": [[0.750, 0.859, 0.800], [0.250, 0.141, 0.200], [0.750, 0.359, 0.700], [0.250, 0.641, 0.300], [0.250, 0.272, 0.958], [0.250, 0.772, 0.542], [0.750, 0.228, 0.458], [0.750, 0.728, 0.042], [0.250, 0.377, 0.561], [0.750, 0.848, 0.214], [0.750, 0.490, 0.895], [0.750, 0.990, 0.605], [0.750, 0.623, 0.439], [0.250, 0.010, 0.395], [0.250, 0.877, 0.939], [0.750, 0.348, 0.286], [0.250, 0.652, 0.714], [0.250, 0.152, 0.786], [0.750, 0.123, 0.061], [0.250, 0.510, 0.105]]
}

---

# 12
{
  "formula": "CsNa2Bi2Pb2",
  "functional": "PBE-GGA",
  "state": "optimized geometry",
  "volume_a3_per_atom": 38.61,
  "mass_density_g_cm3": 6.21,
  "dos_at_fermi_per_ev_atom": 0.356,
  "sg": "R-3m (166)",
  "formation_enthalpy_0k_ev_per_atom": -0.26,
  "lattice_angstrom": [[-3.227, -2.636, -3.657], [0.393, -1.872, 5.204], [-7.030, 7.981, 0.450]],
  "species": ["Cs", "Na", "Na", "Bi", "Bi", "Pb", "Pb"],
  "frac_coords": [[0.000, 0.000, 0.000], [0.140, 0.280, 0.419], [0.860, 0.720, 0.581], [0.757, 0.513, 0.269], [0.243, 0.487, 0.731], [0.558, 0.117, 0.676], [0.442, 0.883, 0.324]]
}

---

# 13
{
  "formula": "Pr12HoTm7",
  "functional": "PBE-GGA",
  "state": "optimized geometry",
  "volume_a3_per_atom": 34.72,
  "mass_density_g_cm3": 7.27,
  "de_polymorph_mev_per_atom": 0,
  "dos_at_fermi_per_ev_atom": 1.923,
  "sg": "R-3 (148)",
  "formation_enthalpy_0k_ev_per_atom": 0.22,
  "lattice_angstrom": [[8.574, 1.254, 1.882], [-1.180, 8.584, 1.882], [-1.180, -1.570, 8.647]],
  "species": ["Pr", "Pr", "Pr", "Pr", "Pr", "Pr", "Pr", "Pr", "Pr", "Pr", "Pr", "Pr", "Ho", "Tm", "Tm", "Tm", "Tm", "Tm", "Tm", "Tm"],
  "frac_coords": [[0.774, 0.243, 0.650], [0.757, 0.350, 0.226], [0.420, 0.102, 0.347], [0.898, 0.653, 0.580], [0.350, 0.226, 0.757], [0.653, 0.580, 0.898], [0.347, 0.420, 0.102], [0.650, 0.774, 0.243], [0.102, 0.347, 0.420], [0.580, 0.898, 0.653], [0.243, 0.650, 0.774], [0.226, 0.757, 0.350], [0.000, 0.000, 0.000], [0.996, 0.641, 0.112], [0.359, 0.888, 0.004], [0.888, 0.004, 0.359], [0.500, 0.500, 0.500], [0.112, 0.996, 0.641], [0.641, 0.112, 0.996], [0.004, 0.359, 0.888]]
}

---

# 14
{
  "formula": "Cs3AgBr6",
  "functional": "PBE-GGA",
  "state": "optimized geometry",
  "volume_a3_per_atom": 46.00,
  "mass_density_g_cm3": 3.56,
  "dos_at_fermi_per_ev_atom": 0.322,
  "sg": "Cmc2_1 (36)",
  "formation_energy_uncorrected_ev_per_atom": -1.121,
  "lattice_angstrom": [[-4.681, -2.766, 1.125], [5.514, -11.041, -4.198], [2.996, 0.088, 12.687]],
  "species": ["Cs", "Cs", "Cs", "Cs", "Cs", "Cs", "Ag", "Ag", "Br", "Br", "Br", "Br", "Br", "Br", "Br", "Br", "Br", "Br", "Br", "Br"],
  "frac_coords": [[0.449, 0.937, 0.684], [0.949, 0.684, 0.937], [0.580, 0.371, 0.629], [0.080, 0.629, 0.371], [0.949, 0.063, 0.316], [0.449, 0.316, 0.063], [0.095, 0.203, 0.797], [0.595, 0.797, 0.203], [0.249, 0.660, 0.662], [0.749, 0.662, 0.660], [0.110, 0.416, 0.846], [0.610, 0.846, 0.416], [0.094, 0.075, 0.925], [0.601, 0.198, 0.802], [0.101, 0.802, 0.198], [0.594, 0.925, 0.075], [0.110, 0.154, 0.584], [0.610, 0.584, 0.154], [0.249, 0.338, 0.340], [0.749, 0.340, 0.338]]
}

---

# 15
{
  "formula": "AlSiRu2",
  "functional": "PBE-GGA",
  "state": "optimized geometry",
  "volume_a3_per_atom": 15.16,
  "mass_density_g_cm3": 7.04,
  "de_polymorph_mev_per_atom": 737,
  "dos_at_fermi_per_ev_atom": 1.172,
  "sg": "I-42d (122)",
  "formation_energy_uncorrected_ev_per_atom": 0.022,
  "lattice_angstrom": [[-4.030, -4.707, 1.993], [-1.132, -1.652, -6.193], [-0.388, -5.019, -2.011]],
  "species": ["Ru", "Ru", "Ru", "Ru", "Si", "Si", "Al", "Al"],
  "frac_coords": [[0.658, 0.125, 0.250], [0.092, 0.625, 0.250], [0.375, 0.342, 0.750], [0.875, 0.908, 0.750], [0.000, 0.000, 0.000], [0.750, 0.250, 0.500], [0.500, 0.500, 0.000], [0.250, 0.750, 0.500]]
}

---

# 16
{
  "formula": "YThAg2",
  "functional": "PBE-GGA",
  "state": "optimized geometry",
  "volume_a3_per_atom": 25.45,
  "mass_density_g_cm3": 8.75,
  "de_polymorph_mev_per_atom": 35,
  "dos_at_fermi_per_ev_atom": 1.335,
  "sg": "Fm-3m (225)",
  "formation_enthalpy_0k_ev_per_atom": -0.14,
  "lattice_angstrom": [[5.241, 0.000, 0.000], [2.621, 4.539, 0.000], [2.621, 1.513, 4.280]],
  "species": ["Y", "Ag", "Ag", "Th"],
  "frac_coords": [[0.000, 0.000, 0.000], [0.250, 0.250, 0.250], [0.750, 0.750, 0.750], [0.500, 0.500, 0.500]]
}

---

# 17
{
  "formula": "Li6Pm2Au3",
  "functional": "PBE-GGA",
  "state": "optimized geometry",
  "volume_a3_per_atom": 20.53,
  "mass_density_g_cm3": 6.78,
  "dos_at_fermi_per_ev_atom": 0.547,
  "sg": "P-62m (189)",
  "formation_enthalpy_0k_ev_per_atom": -0.40,
  "lattice_angstrom": [[-0.816, 0.295, 3.945], [-3.298, -7.327, -0.134], [7.838, 0.850, 1.557]],
  "species": ["Li", "Li", "Li", "Li", "Li", "Li", "Pm", "Pm", "Au", "Au", "Au"],
  "frac_coords": [[0.500, 0.738, 0.738], [0.500, 0.000, 0.262], [0.000, 0.205, 0.205], [0.000, 0.795, 0.000], [0.500, 0.262, 0.000], [0.000, 0.000, 0.795], [0.000, 0.667, 0.333], [0.000, 0.333, 0.667], [0.500, 0.407, 0.407], [0.500, 0.593, 0.000], [0.500, 0.000, 0.593]]
}

---

# 18
{
  "formula": "Cs4Ca3F10",
  "functional": "PBE-GGA",
  "state": "optimized geometry",
  "volume_a3_per_atom": 20.50,
  "mass_density_g_cm3": 4.01,
  "dos_at_fermi_per_ev_atom": 0.000,
  "sg": "I4/mmm (139)",
  "formation_energy_uncorrected_ev_per_atom": -3.384,
  "lattice_angstrom": [[-4.078, 2.010, 0.472], [-1.468, -3.557, 2.467], [8.070, 8.250, 12.465]],
  "species": ["Cs", "Cs", "Cs", "Cs", "Ca", "Ca", "Ca", "F", "F", "F", "F", "F", "F", "F", "F", "F", "F"],
  "frac_coords": [[0.568, 0.568, 0.136], [0.432, 0.432, 0.864], [0.296, 0.296, 0.593], [0.704, 0.704, 0.407], [0.137, 0.137, 0.274], [0.863, 0.863, 0.726], [0.000, 0.000, 0.000], [0.138, 0.638, 0.277], [0.069, 0.069, 0.138], [0.638, 0.138, 0.277], [0.862, 0.362, 0.723], [0.362, 0.862, 0.723], [0.931, 0.931, 0.862], [0.206, 0.206, 0.412], [0.794, 0.794, 0.588], [0.000, 0.500, 0.000], [0.500, 0.000, 0.000]]
}

---

# 19
{
  "formula": "SbTePbI2",
  "functional": "PBE-GGA",
  "state": "optimized geometry",
  "volume_a3_per_atom": 41.56,
  "mass_density_g_cm3": 5.68,
  "de_polymorph_mev_per_atom": 0,
  "dos_at_fermi_per_ev_atom": 0.638,
  "sg": "P4/mmm (123)",
  "formation_energy_uncorrected_ev_per_atom": 0.130,
  "lattice_angstrom": [[5.880, 0.000, 0.000], [0.000, 5.880, 0.000], [0.000, 0.000, 6.012]],
  "species": ["Pb", "I", "I", "Te", "Sb"],
  "frac_coords": [[0.500, 0.500, 0.500], [0.000, 0.500, 0.000], [0.500, 0.000, 0.000], [0.000, 0.000, 0.500], [0.000, 0.000, 0.000]]
}

---

# 20
{
  "formula": "Dy8Hg4CSe3",
  "functional": "PBE-GGA",
  "state": "optimized geometry",
  "volume_a3_per_atom": 25.33,
  "mass_density_g_cm3": 9.63,
  "dos_at_fermi_per_ev_atom": 0.548,
  "sg": "C2/m (12)",
  "formation_energy_uncorrected_ev_per_atom": -0.921,
  "lattice_angstrom": [[-0.706, 7.454, 2.346], [2.731, -2.290, 8.099], [4.802, -1.803, -5.948]],
  "species": ["Dy", "Dy", "Dy", "Dy", "Dy", "Dy", "Dy", "Dy", "Hg", "Hg", "Hg", "Hg", "C", "Se", "Se", "Se"],
  "frac_coords": [[0.216, 0.703, 0.987], [0.216, 0.703, 0.433], [0.258, 0.275, 0.517], [0.771, 0.703, 0.987], [0.229, 0.297, 0.013], [0.742, 0.725, 0.483], [0.784, 0.297, 0.567], [0.784, 0.297, 0.013], [0.500, 0.000, 0.000], [0.500, 0.000, 0.500], [0.000, 0.000, 0.000], [0.000, 0.000, 0.500], [0.000, 0.500, 0.000], [0.500, 0.500, 0.000], [0.500, 0.500, 0.500], [0.000, 0.500, 0.500]]
}